## K2NaAlI6 (PBE)

Data for crystalline K2NaAlI6 at its relaxed geometry.

abc: 8.171 8.171 7.741
angles: 90.00 90.00 120.00
Atoms (fractional coordinates):
K 0.333 0.667 0.360
K 0.667 0.333 0.640
Na 0.000 0.000 0.000
Al 0.000 0.000 0.500
I 0.161 0.322 0.710
I 0.161 0.839 0.710
I 0.322 0.161 0.290
I 0.678 0.839 0.710
I 0.839 0.161 0.290
I 0.839 0.678 0.290

Calculated values
* E_form (uncorrected): -101.02 kJ/mol of atoms
* magnetization: 0.00 Bohr magnetons per cell